(1)
La2SiS5 (GGA-PBE, relaxed); symmetry = No. 14; DOS(E_F) = 0.0 states/eV per cell; E_tot = -6.154 eV/atom
1.0
7.661 0.000 0.000
0.000 12.686 0.000
-1.550 0.000 7.790
La Si S
8 4 20
Cartesian
1.047 2.090 1.012
0.272 4.253 4.907
1.768 7.544 0.353
0.993 11.485 4.248
5.118 1.201 3.542
4.343 5.142 7.437
5.839 8.433 2.883
5.064 10.596 6.778
1.606 7.822 4.651
2.381 11.207 0.756
3.730 1.479 7.034
4.505 4.864 3.139
-0.097 8.910 5.415
0.678 10.119 1.520
0.282 1.540 3.846
-0.493 4.803 7.741
0.746 6.726 3.030
-0.029 12.303 6.925
2.783 0.024 2.194
2.008 6.319 6.089
2.178 2.878 7.381
2.953 3.465 3.486
3.158 9.221 4.304
3.933 9.808 0.409
4.103 6.367 1.701
3.328 12.662 5.595
6.140 0.383 0.865
5.365 5.960 4.760
6.603 7.882 0.049
5.828 11.146 3.944
5.433 2.567 6.270
6.208 3.776 2.375



(2)
La7SiS5 (GGA-PBE, relaxed); symmetry = No. 12; DOS(E_F) = 18.7 states/eV per cell; E_tot = -6.422 eV/atom
1.0
6.839 -2.091 0.000
6.839 2.091 0.000
-0.009 0.000 24.478
La Si S
14 2 10
Cartesian
0.488 0.000 6.122
1.874 0.000 13.122
1.869 0.000 23.595
4.282 0.000 4.410
4.278 0.000 7.828
5.567 0.000 14.961
5.562 0.000 21.754
8.107 0.000 2.724
8.102 0.000 9.517
9.391 0.000 16.649
9.387 0.000 20.068
11.800 0.000 0.883
11.795 0.000 11.356
13.181 0.000 18.356
4.183 0.000 18.363
9.486 0.000 6.115
0.643 0.000 15.726
0.638 0.000 20.991
3.116 0.000 1.773
3.111 0.000 10.465
6.839 0.000 0.000
6.835 0.000 12.239
10.558 0.000 14.013
10.553 0.000 22.704
13.031 0.000 3.487
13.026 0.000 8.752



(3)
La3Si5S12 (GGA-PBE, relaxed); symmetry = No. 230; DOS(E_F) = 6.7 states/eV per cell; E_tot = -5.616 eV/atom
1.0
-7.634 7.634 7.634
7.634 -7.634 7.634
7.634 7.634 -7.634
La Si S
12 20 48
Cartesian
3.817 1.908 0.000
7.634 3.817 -1.908
1.908 0.000 3.817
9.542 0.000 3.817
0.000 3.817 1.908
3.817 -1.908 7.634
3.817 9.542 0.000
7.634 3.817 5.725
-1.908 7.634 3.817
5.725 7.634 3.817
0.000 3.817 9.542
3.817 5.725 7.634
0.000 0.000 0.000
3.817 3.817 -3.817
3.817 -3.817 3.817
7.634 0.000 0.000
11.451 1.908 0.000
7.634 -3.817 5.725
5.725 7.634 -3.817
5.725 0.000 3.817
3.817 5.725 0.000
7.634 3.817 1.908
-3.817 3.817 3.817
0.000 7.634 0.000
0.000 0.000 7.634
3.817 3.817 3.817
0.000 3.817 5.725
3.817 1.908 7.634
1.908 7.634 3.817
1.908 0.000 11.451
0.000 11.451 1.908
-3.817 5.725 7.634
2.361 -0.534 0.843
9.090 4.660 -4.351
9.995 0.534 0.843
9.090 -2.974 4.351
7.100 -0.843 2.361
11.985 -1.456 2.974
0.843 2.361 -0.534
10.608 3.283 -1.456
4.660 4.351 -1.456
6.791 2.361 0.534
-0.534 0.843 2.361
4.351 -1.456 4.660
7.100 6.791 -2.361
4.351 1.456 2.974
4.660 -4.351 9.090
6.791 -2.361 7.100
2.974 4.351 1.456
8.477 5.273 0.534
4.351 9.090 -2.974
7.100 0.843 5.273
2.361 7.100 -0.843
9.090 2.974 3.283
1.456 2.974 4.351
2.361 0.534 6.791
5.273 7.100 0.843
6.178 4.660 3.283
-1.456 4.660 4.351
5.273 0.534 8.477
0.534 6.791 2.361
3.283 -1.456 10.608
-0.843 2.361 7.100
4.660 3.283 6.178
0.843 9.995 0.534
2.974 11.985 -1.456
3.283 6.178 4.660
0.534 0.843 9.995
3.283 9.090 2.974
8.168 6.791 5.273
0.843 5.273 7.100
2.974 3.283 9.090
-2.974 4.351 9.090
6.791 5.273 8.168
-4.351 9.090 4.660
0.534 8.477 5.273
-1.456 10.608 3.283
-2.361 7.100 6.791
-1.456 2.974 11.985
5.273 8.168 6.791



(4)
La2SiS5 (GGA-PBE, relaxed); symmetry = No. 62; DOS(E_F) = 0.0 states/eV per cell; E_tot = -6.030 eV/atom
1.0
12.627 0.000 0.000
0.000 4.826 0.000
0.000 0.000 13.466
La Si S
8 4 20
Cartesian
1.328 1.207 2.976
1.784 1.207 7.290
4.529 3.620 0.557
4.985 3.620 9.709
7.642 1.207 3.757
8.098 1.207 12.909
10.843 3.620 6.176
11.299 3.620 10.491
2.178 1.207 11.721
4.135 3.620 4.988
8.492 1.207 8.479
10.449 3.620 1.745
0.088 1.207 11.475
0.238 3.620 8.160
2.775 3.620 11.676
2.845 1.207 0.317
2.975 3.620 3.124
3.339 1.207 9.857
3.468 3.620 7.050
3.539 1.207 4.943
6.076 1.207 1.427
6.226 3.620 4.742
6.402 1.207 8.724
6.552 3.620 12.039
9.089 3.620 8.523
9.159 1.207 6.416
9.288 3.620 3.609
9.653 1.207 10.342
9.782 3.620 13.149
9.852 1.207 1.790
12.389 1.207 5.306
12.539 3.620 1.991



(5)
LaSi3S (GGA-PBE, relaxed); symmetry = No. 221; DOS(E_F) = 4.1 states/eV per cell; E_tot = -4.894 eV/atom
1.0
4.743 0.000 0.000
0.000 4.743 0.000
0.000 0.000 4.743
La Si S
1 3 1
Cartesian
0.000 0.000 0.000
0.000 2.372 2.372
2.372 0.000 2.372
2.372 2.372 0.000
2.372 2.372 2.372



(6)
LaSi2S6 (GGA-PBE, relaxed); symmetry = No. 15; DOS(E_F) = 1.8 states/eV per cell; E_tot = -5.379 eV/atom
1.0
6.208 -5.665 0.000
6.208 5.665 0.000
-1.911 0.000 6.074
La Si S
2 4 12
Cartesian
4.774 3.863 4.555
5.730 -3.863 1.518
2.158 0.741 4.751
3.113 -0.741 1.714
7.391 0.741 4.359
8.347 -0.741 1.323
0.171 0.646 4.075
2.526 2.475 5.915
1.127 -0.646 1.038
3.544 0.936 3.091
7.023 2.475 3.196
4.500 -0.936 0.054
6.004 0.936 6.019
3.481 -2.475 2.878
6.960 -0.936 2.982
9.378 0.646 5.036
7.979 -2.475 0.159
10.333 -0.646 1.999



(7)
La3SiS6 (GGA-PBE, relaxed); symmetry = No. 36; DOS(E_F) = 9.2 states/eV per cell; E_tot = -6.225 eV/atom
1.0
5.560 -6.920 0.000
5.560 6.920 0.000
0.000 0.000 6.764
La Si S
6 2 12
Cartesian
5.560 5.499 3.382
3.529 1.365 2.945
3.529 -1.365 6.326
7.590 1.365 2.945
7.590 -1.365 6.326
5.560 -5.499 0.000
5.560 2.723 5.943
5.560 -2.723 2.561
3.822 3.577 4.969
1.773 0.294 4.838
1.773 -0.294 1.457
5.560 2.881 1.355
7.297 3.577 4.969
5.560 0.651 5.211
5.560 -0.651 1.829
3.822 -3.577 1.587
5.560 -2.881 4.737
9.347 0.294 4.838
9.347 -0.294 1.457
7.297 -3.577 1.587



(8)
LaSiSn2S (GGA-PBE, relaxed); symmetry = No. 123; DOS(E_F) = 3.9 states/eV per cell; E_tot = -4.508 eV/atom
1.0
5.326 0.000 0.000
0.000 5.326 0.000
0.000 0.000 4.719
La Si Sn S
1 1 2 1
Cartesian
0.000 0.000 0.000
2.663 2.663 0.000
0.000 2.663 2.360
2.663 0.000 2.360
2.663 2.663 2.360



(9)
La12Si4SnS28 (GGA-PBE, relaxed); symmetry = No. 1; E_tot = -6.163 eV/atom
1.0
10.396 0.000 0.000
0.003 11.623 0.000
5.197 5.804 9.001
La Si Sn S
12 4 1 28
Cartesian
0.000 0.000 0.000
0.116 5.638 0.178
4.934 2.868 4.271
5.108 8.520 4.361
8.327 8.707 8.118
8.295 14.301 7.893
5.538 5.633 1.174
5.687 11.610 1.077
9.773 8.513 3.377
9.960 2.877 3.253
12.319 11.620 5.532
12.354 5.621 5.331
7.738 5.163 5.224
7.725 11.008 5.201
12.890 8.138 8.176
12.965 13.934 8.269
2.524 10.174 2.213
3.969 7.306 6.849
4.107 13.103 7.015
0.832 8.806 0.801
0.737 2.863 0.630
4.210 11.523 3.679
4.340 5.770 3.766
6.216 4.338 6.504
6.203 10.194 6.471
2.965 11.517 0.023
8.173 11.581 8.893
4.589 8.810 1.455
4.809 2.850 1.430
7.738 7.283 5.318
7.727 13.113 5.110
7.376 10.171 3.242
7.397 4.358 3.272
9.599 4.344 5.913
9.598 10.188 5.868
11.066 13.117 7.664
11.051 7.288 7.458
8.074 7.283 1.212
8.111 1.510 1.127
12.914 10.243 8.222
12.948 16.046 8.220
10.696 5.775 3.013
10.817 11.524 2.925
12.479 14.458 4.590
12.549 8.819 4.381



(10)
LaTaSiS2 (GGA-PBE, relaxed); symmetry = No. 123; DOS(E_F) = 7.4 states/eV per cell; E_tot = -4.796 eV/atom
1.0
5.312 0.000 0.000
0.000 5.312 0.000
0.000 0.000 5.941
La Ta Si S
1 1 1 2
Cartesian
0.000 0.000 0.000
0.000 0.000 2.970
2.656 2.656 2.970
0.000 2.656 0.000
2.656 0.000 0.000



(11)
La6Si2Te3S (GGA-PBE, relaxed); symmetry = No. 12; DOS(E_F) = 5.0 states/eV per cell; E_tot = -5.927 eV/atom
1.0
9.812 -2.213 0.000
9.812 2.213 0.000
-2.362 0.000 8.698
La Si Te S
6 2 3 1
Cartesian
-0.414 0.000 2.045
5.405 0.000 3.760
4.526 0.000 7.839
12.736 0.000 0.859
11.856 0.000 4.938
17.676 0.000 6.653
2.452 0.000 2.858
14.810 0.000 5.841
1.288 0.000 7.249
8.631 0.000 4.349
15.973 0.000 1.449
9.812 0.000 0.000



(12)
La6SiTe3S2 (GGA-PBE, relaxed); symmetry = No. 12; DOS(E_F) = 5.8 states/eV per cell; E_tot = -6.047 eV/atom
1.0
9.723 -2.183 0.000
9.723 2.183 0.000
-2.402 0.000 8.614
La Si Te S
6 1 3 2
Cartesian
-0.423 0.000 2.019
5.275 0.000 3.762
4.461 0.000 7.738
12.583 0.000 0.877
11.769 0.000 4.852
17.467 0.000 6.595
9.723 0.000 0.000
1.245 0.000 7.159
8.522 0.000 4.307
15.798 0.000 1.455
2.453 0.000 2.874
14.590 0.000 5.740